# CdPS2Cl (PBEsol, optimized geometry)
data_CdPS2Cl
_symmetry_space_group_name_H-M 'P 1'
_symmetry_Int_Tables_number 1
_cell_length_a 4.824
_cell_length_b 4.925
_cell_length_c 4.925
_cell_angle_alpha 90.00
_cell_angle_beta 90.00
_cell_angle_gamma 90.00
loop_
_symmetry_equiv_pos_as_xyz
'x,y,z'
loop_
_atom_site_label
_atom_site_type_symbol
_atom_site_fract_x
_atom_site_fract_y
_atom_site_fract_z
P1 P 0.500 0.500 0.500
S1 S 0.000 0.000 0.500
S2 S 0.000 0.500 0.000
Cl1 Cl 0.500 0.000 0.000
Cd1 Cd 0.000 0.000 0.000
# energy above the most stable polymorph in this dataset: 0.000 eV per atom
# DFT total energy: -2.73 eV per atom
# symmetry: No. 123

# TiCdPCl2 (PBEsol, optimized geometry)
data_TiCdPCl2
_symmetry_space_group_name_H-M 'P 1'
_symmetry_Int_Tables_number 1
_cell_length_a 4.590
_cell_length_b 4.590
_cell_length_c 5.060
_cell_angle_alpha 90.00
_cell_angle_beta 90.00
_cell_angle_gamma 90.00
loop_
_symmetry_equiv_pos_as_xyz
'x,y,z'
loop_
_atom_site_label
_atom_site_type_symbol
_atom_site_fract_x
_atom_site_fract_y
_atom_site_fract_z
Cl1 Cl 0.000 0.500 0.000
Cl2 Cl 0.500 0.000 0.000
Ti1 Ti 0.000 0.000 0.000
P1 P 0.000 0.000 0.500
Cd1 Cd 0.500 0.500 0.500
# DFT total energy: -4.42 eV per atom
# symmetry: No. 123

# YCdP2Cl (PBEsol, optimized geometry)
data_YCdP2Cl
_symmetry_space_group_name_H-M 'P 1'
_symmetry_Int_Tables_number 1
_cell_length_a 5.023
_cell_length_b 5.281
_cell_length_c 5.281
_cell_angle_alpha 90.00
_cell_angle_beta 90.00
_cell_angle_gamma 90.00
loop_
_symmetry_equiv_pos_as_xyz
'x,y,z'
loop_
_atom_site_label
_atom_site_type_symbol
_atom_site_fract_x
_atom_site_fract_y
_atom_site_fract_z
Y1 Y 0.000 0.000 0.000
P1 P 0.000 0.000 0.500
P2 P 0.000 0.500 0.000
Cl1 Cl 0.500 0.000 0.000
Cd1 Cd 0.500 0.500 0.500
# DFT total energy: -4.31 eV per atom
# symmetry: No. 123

# ZnCdPCl2 (PBEsol, optimized geometry)
data_ZnCdPCl2
_symmetry_space_group_name_H-M 'P 1'
_symmetry_Int_Tables_number 1
_cell_length_a 4.633
_cell_length_b 4.633
_cell_length_c 5.024
_cell_angle_alpha 90.00
_cell_angle_beta 90.00
_cell_angle_gamma 90.00
loop_
_symmetry_equiv_pos_as_xyz
'x,y,z'
loop_
_atom_site_label
_atom_site_type_symbol
_atom_site_fract_x
_atom_site_fract_y
_atom_site_fract_z
P1 P 0.000 0.000 0.500
Zn1 Zn 0.000 0.000 0.000
Cl1 Cl 0.000 0.500 0.000
Cl2 Cl 0.500 0.000 0.000
Cd1 Cd 0.500 0.500 0.500
# DFT total energy: -2.50 eV per atom
# symmetry: No. 123

no.,raw formation energy (eV per atom)
1,0.83
2,-0.55
3,0.01
4,0.02